Record 1
Below is a relaxed Pm2Dy3YTe6 crystal, with properties calculated at the PBE level. Values from VASP.

Properties
DOS at the Fermi energy, states/eV/f.u.: 6.5
Energy, eV/cell: -64.57
Space-group type: No. 12

The structure in Quantum ESPRESSO input format:
```
&SYSTEM
  ibrav = 0, nat = 12, ntyp = 4
/
ATOMIC_SPECIES
Pm 145.00 Pm.upf
Dy 162.50 Dy.upf
Y 88.91 Y.upf
Te 127.60 Te.upf
CELL_PARAMETERS angstrom
9.587 -2.184 0.000
9.587 2.184 0.000
-2.067 0.000 8.598
ATOMIC_POSITIONS angstrom
Pm 2.543 0.000 2.891
Pm 14.564 0.000 5.707
Dy 1.541 0.000 7.167
Dy 8.554 0.000 4.299
Dy 15.566 0.000 1.431
Y 9.587 0.000 0.000
Te -1.499 0.000 6.457
Te 4.511 0.000 7.944
Te 5.604 0.000 3.539
Te 11.503 0.000 5.060
Te 12.596 0.000 0.654
Te 18.606 0.000 2.141
```

---

Record 2
Below is a relaxed ScCuP2 crystal, with properties calculated at the PBE level. Values from VASP.

Properties
ΔH_f (0 K), meV per atom: -672
DOS at the Fermi energy, states/eV/f.u.: 1.2
Energy, eV/cell: -23.94
Space-group type: No. 8

The structure in Quantum ESPRESSO input format:
```
&SYSTEM
  ibrav = 0, nat = 4, ntyp = 3
/
ATOMIC_SPECIES
Sc 44.96 Sc.upf
Cu 63.55 Cu.upf
P 30.97 P.upf
CELL_PARAMETERS angstrom
5.159 -1.840 0.000
5.159 1.840 0.000
-1.251 0.000 3.451
ATOMIC_POSITIONS angstrom
Sc 0.000 0.000 0.000
Cu 7.403 0.000 0.906
P 3.521 0.000 1.209
P 5.520 0.000 2.164
```

---

Record-wise M_tot values, in μB per formula unit: 0.00 0.00